1.
{
  "formula": "AlTc2B",
  "functional": "PBE",
  "state": "optimized geometry",
  "relative_energy_ev_per_fu": 0.62,
  "e_tot_ev_per_fu": -31.227,
  "total_magnetization_mub_per_atom": 0.00,
  "lattice_angstrom": [[-6.799, 0.900, 0.665], [-0.063, -4.396, 5.305], [-3.066, -0.040, 4.405]],
  "species": ["B", "B", "Tc", "Tc", "Tc", "Tc", "Al", "Al"],
  "frac_coords": [[0.500, 0.500, 0.000], [0.250, 0.750, 0.500], [0.536, 0.125, 0.250], [0.214, 0.625, 0.250], [0.375, 0.464, 0.750], [0.875, 0.786, 0.750], [0.000, 0.000, 0.000], [0.750, 0.250, 0.500]]
}

2.
{
  "formula": "CS",
  "functional": "PBE",
  "state": "optimized geometry",
  "relative_energy_ev_per_fu": 1.99,
  "e_tot_ev_per_fu": -8.917,
  "e_form_raw_ev_per_fu": 4.43,
  "total_magnetization_mub_per_atom": 0.00,
  "lattice_angstrom": [[4.817, 0.000, 0.000], [0.000, 4.817, 0.000], [0.000, 0.000, 4.817]],
  "species": ["C", "C", "C", "C", "S", "S", "S", "S"],
  "frac_coords": [[0.250, 0.250, 0.250], [0.250, 0.750, 0.750], [0.750, 0.250, 0.750], [0.750, 0.750, 0.250], [0.000, 0.000, 0.000], [0.000, 0.500, 0.500], [0.500, 0.000, 0.500], [0.500, 0.500, 0.000]]
}

3.
{
  "formula": "Ta2SbMo",
  "functional": "PBE",
  "state": "optimized geometry",
  "e_tot_ev_per_fu": -38.260,
  "e_form_raw_ev_per_fu": 0.40,
  "total_magnetization_mub_per_atom": 0.00,
  "lattice_angstrom": [[4.770, 0.390, -0.497], [-1.773, 4.445, -0.497], [0.300, 0.484, 3.253]],
  "species": ["Mo", "Sb", "Ta", "Ta"],
  "frac_coords": [[0.500, 0.000, 0.500], [0.000, 0.500, 0.500], [0.000, 0.000, 0.000], [0.500, 0.500, 0.000]]
}

4.
{
  "formula": "Tb5Sm12Ge3",
  "functional": "PBE",
  "state": "optimized geometry",
  "e_tot_ev_per_fu": -81.206,
  "total_magnetization_mub_per_atom": 0.00,
  "lattice_angstrom": [[-14.160, -0.841, 6.259], [9.699, -9.151, 7.911], [5.058, 14.644, 0.609]],
  "species": ["Ge", "Ge", "Ge", "Ge", "Ge", "Ge", "Ge", "Ge", "Ge", "Ge", "Ge", "Ge", "Tb", "Tb", "Tb", "Tb", "Tb", "Tb", "Tb", "Tb", "Tb", "Tb", "Tb", "Tb", "Tb", "Tb", "Tb", "Tb", "Tb", "Tb", "Tb", "Tb", "Sm", "Sm", "Sm", "Sm", "Sm", "Sm", "Sm", "Sm", "Sm", "Sm", "Sm", "Sm", "Sm", "Sm", "Sm", "Sm", "Sm", "Sm", "Sm", "Sm", "Sm", "Sm", "Sm", "Sm", "Sm", "Sm", "Sm", "Sm", "Sm", "Sm", "Sm", "Sm", "Sm", "Sm", "Sm", "Sm", "Sm", "Sm", "Sm", "Sm", "Sm", "Sm", "Sm", "Sm", "Sm", "Sm", "Sm", "Sm"],
  "frac_coords": [[0.750, 0.375, 0.125], [0.875, 0.750, 0.125], [0.375, 0.750, 0.625], [0.250, 0.125, 0.375], [0.875, 0.125, 0.250], [0.375, 0.625, 0.250], [0.625, 0.375, 0.750], [0.125, 0.875, 0.750], [0.750, 0.875, 0.625], [0.625, 0.250, 0.375], [0.125, 0.250, 0.875], [0.250, 0.625, 0.875], [0.125, 0.375, 0.250], [0.000, 0.500, 0.000], [0.000, 0.000, 0.000], [0.375, 0.250, 0.125], [0.500, 0.000, 0.500], [0.500, 0.500, 0.000], [0.125, 0.750, 0.375], [0.750, 0.125, 0.875], [0.750, 0.625, 0.375], [0.375, 0.125, 0.750], [0.625, 0.875, 0.250], [0.500, 0.500, 0.500], [0.500, 0.000, 0.000], [0.000, 0.000, 0.500], [0.250, 0.375, 0.625], [0.250, 0.875, 0.125], [0.000, 0.500, 0.500], [0.875, 0.250, 0.625], [0.625, 0.750, 0.875], [0.875, 0.625, 0.750], [0.738, 0.139, 0.076], [0.338, 0.576, 0.437], [0.924, 0.361, 0.262], [0.576, 0.238, 0.139], [0.599, 0.738, 0.662], [0.924, 0.563, 0.162], [0.338, 0.762, 0.401], [0.063, 0.901, 0.139], [0.563, 0.924, 0.662], [0.738, 0.599, 0.162], [0.762, 0.424, 0.361], [0.838, 0.937, 0.076], [0.139, 0.738, 0.576], [0.361, 0.437, 0.099], [0.099, 0.937, 0.361], [0.401, 0.139, 0.563], [0.099, 0.162, 0.238], [0.424, 0.662, 0.063], [0.838, 0.901, 0.262], [0.139, 0.401, 0.063], [0.361, 0.924, 0.762], [0.563, 0.639, 0.401], [0.937, 0.838, 0.576], [0.762, 0.338, 0.901], [0.437, 0.361, 0.599], [0.063, 0.162, 0.424], [0.238, 0.662, 0.099], [0.162, 0.099, 0.738], [0.639, 0.076, 0.238], [0.861, 0.599, 0.937], [0.576, 0.338, 0.937], [0.599, 0.861, 0.437], [0.901, 0.838, 0.762], [0.901, 0.063, 0.639], [0.861, 0.262, 0.424], [0.162, 0.063, 0.924], [0.639, 0.563, 0.901], [0.437, 0.076, 0.338], [0.262, 0.401, 0.838], [0.238, 0.576, 0.639], [0.937, 0.099, 0.861], [0.662, 0.238, 0.599], [0.424, 0.762, 0.861], [0.076, 0.437, 0.838], [0.401, 0.262, 0.338], [0.076, 0.639, 0.738], [0.662, 0.424, 0.563], [0.262, 0.861, 0.924]]
}

5.
{
  "formula": "Te2PdCl",
  "functional": "PBE",
  "state": "optimized geometry",
  "e_tot_ev_per_fu": -14.713,
  "e_form_raw_ev_per_fu": -1.39,
  "total_magnetization_mub_per_atom": 0.00,
  "lattice_angstrom": [[4.100, 0.000, 0.000], [0.000, 5.487, -0.066], [0.000, 0.056, 9.490]],
  "species": ["Te", "Te", "Te", "Te", "Pd", "Pd", "Cl", "Cl"],
  "frac_coords": [[0.538, 0.427, 0.064], [0.538, 0.431, 0.430], [0.038, 0.930, 0.310], [0.038, 0.933, 0.676], [0.538, 0.932, 0.495], [0.038, 0.429, 0.245], [0.538, 0.925, 0.011], [0.038, 0.436, 0.729]]
}

6.
{
  "formula": "Mg3NiRh2",
  "functional": "PBE",
  "state": "optimized geometry",
  "e_tot_ev_per_fu": -27.627,
  "total_magnetization_mub_per_atom": 0.00,
  "lattice_angstrom": [[-1.025, -1.972, 2.239], [3.800, -2.097, -0.107], [0.437, 5.049, 4.648]],
  "species": ["Mg", "Mg", "Mg", "Ni", "Rh", "Rh"],
  "frac_coords": [[0.500, 0.500, 0.000], [0.500, 0.833, 0.665], [0.500, 0.167, 0.335], [0.000, 0.000, 0.000], [0.000, 0.337, 0.675], [0.000, 0.663, 0.325]]
}

7.
{
  "formula": "ZrTaTl2Te",
  "functional": "PBE",
  "state": "optimized geometry",
  "e_tot_ev_per_fu": -21.129,
  "e_form_raw_ev_per_fu": 7.15,
  "total_magnetization_mub_per_atom": 0.00,
  "lattice_angstrom": [[5.637, 0.000, 0.000], [0.000, 5.086, 0.000], [0.000, 0.000, 5.637]],
  "species": ["Tl", "Tl", "Te", "Zr", "Ta"],
  "frac_coords": [[0.000, 0.000, 0.500], [0.500, 0.000, 0.000], [0.000, 0.000, 0.000], [0.500, 0.500, 0.500], [0.000, 0.500, 0.000]]
}

8.
{
  "formula": "ScReH4",
  "functional": "PBE",
  "state": "optimized geometry",
  "e_tot_ev_per_fu": -30.933,
  "total_magnetization_mub_per_atom": 0.33,
  "lattice_angstrom": [[4.142, -0.038, -1.335], [-2.208, 3.505, -1.335], [0.021, 0.038, 4.352]],
  "species": ["Sc", "Re", "H", "H", "H", "H"],
  "frac_coords": [[0.750, 0.250, 0.500], [0.500, 0.500, 0.000], [0.255, 0.256, 0.510], [0.746, 0.745, 0.490], [0.255, 0.745, 0.001], [0.744, 0.254, 0.999]]
}

9.
{
  "formula": "CdWAu2",
  "functional": "PBE",
  "state": "optimized geometry",
  "relative_energy_ev_per_fu": 0.52,
  "e_tot_ev_per_fu": -19.184,
  "total_magnetization_mub_per_atom": 0.00,
  "lattice_angstrom": [[-5.966, 4.037, 6.692], [-6.925, 1.275, 6.863], [-4.598, 2.117, 8.429]],
  "species": ["Au", "Au", "W", "Cd"],
  "frac_coords": [[0.003, 0.003, 0.003], [0.252, 0.252, 0.252], [0.747, 0.747, 0.747], [0.499, 0.499, 0.499]]
}

10.
{
  "formula": "Sc2H5Rh2",
  "functional": "PBE",
  "state": "optimized geometry",
  "e_tot_ev_per_fu": -48.808,
  "total_magnetization_mub_per_atom": 0.00,
  "lattice_angstrom": [[-3.871, 2.500, -2.414], [-0.973, -3.972, -2.553], [-1.951, -1.327, 7.359]],
  "species": ["Sc", "Sc", "Sc", "Sc", "H", "H", "H", "H", "H", "H", "H", "H", "H", "H", "Rh", "Rh", "Rh", "Rh"],
  "frac_coords": [[0.144, 0.637, 0.257], [0.856, 0.380, 0.743], [0.613, 0.137, 0.257], [0.387, 0.880, 0.743], [0.239, 0.751, 0.979], [0.761, 0.773, 0.021], [0.239, 0.251, 0.979], [0.761, 0.273, 0.021], [0.195, 0.126, 0.258], [0.805, 0.868, 0.742], [0.563, 0.626, 0.258], [0.437, 0.368, 0.742], [0.118, 0.571, 0.500], [0.882, 0.071, 0.500], [0.000, 0.015, 0.000], [0.500, 0.515, 0.000], [0.189, 0.214, 0.500], [0.811, 0.714, 0.500]]
}

11.
{
  "formula": "ZrMn2Au",
  "functional": "PBE",
  "state": "optimized geometry",
  "relative_energy_ev_per_fu": 0.00,
  "e_tot_ev_per_fu": -30.608,
  "total_magnetization_mub_per_atom": 0.24,
  "lattice_angstrom": [[3.092, 0.000, 0.000], [0.000, 3.092, 0.000], [0.000, 0.000, 6.926]],
  "species": ["Au", "Mn", "Mn", "Zr"],
  "frac_coords": [[0.500, 0.500, 0.782], [0.000, 0.000, 0.029], [0.500, 0.500, 0.206], [0.000, 0.000, 0.483]]
}

12.
{
  "formula": "Al4Ni5",
  "functional": "PBE",
  "state": "optimized geometry",
  "relative_energy_ev_per_fu": 0.40,
  "e_tot_ev_per_fu": -48.039,
  "total_magnetization_mub_per_atom": 0.00,
  "lattice_angstrom": [[2.336, -5.267, 0.309], [-0.828, 4.831, 3.045], [-5.488, -1.772, 0.193]],
  "species": ["Al", "Al", "Al", "Al", "Ni", "Ni", "Ni", "Ni", "Ni"],
  "frac_coords": [[0.308, 0.000, 0.308], [0.692, 0.000, 0.692], [0.000, 0.692, 0.692], [0.000, 0.308, 0.308], [0.000, 0.000, 0.000], [0.333, 0.667, 0.000], [0.667, 0.333, 0.000], [0.667, 0.667, 0.335], [0.333, 0.333, 0.665]]
}

13.
{
  "formula": "AcHoCdPd",
  "functional": "PBE",
  "state": "optimized geometry",
  "e_tot_ev_per_fu": -16.564,
  "total_magnetization_mub_per_atom": 0.00,
  "lattice_angstrom": [[-0.134, -5.336, 0.473], [0.709, -3.091, -4.319], [4.504, -2.852, -0.544]],
  "species": ["Ac", "Ho", "Pd", "Cd"],
  "frac_coords": [[0.500, 0.500, 0.500], [0.000, 0.000, 0.000], [0.250, 0.250, 0.250], [0.750, 0.750, 0.750]]
}

14.
{
  "formula": "Pr5P4",
  "functional": "PBE",
  "state": "optimized geometry",
  "e_tot_ev_per_fu": -55.889,
  "total_magnetization_mub_per_atom": 0.00,
  "lattice_angstrom": [[3.916, 0.000, 1.138], [1.958, 8.274, 0.569], [-0.351, 0.000, 8.515]],
  "species": ["Pr", "Pr", "Pr", "Pr", "Pr", "P", "P", "P", "P"],
  "frac_coords": [[0.596, 0.666, 0.141], [0.737, 0.859, 0.666], [0.263, 0.141, 0.334], [0.404, 0.334, 0.859], [0.000, 0.000, 0.000], [0.773, 0.321, 0.133], [0.906, 0.867, 0.321], [0.094, 0.133, 0.679], [0.227, 0.679, 0.867]]
}

15.
{
  "formula": "LiCrPRh",
  "functional": "PBE",
  "state": "optimized geometry",
  "e_tot_ev_per_fu": -25.881,
  "total_magnetization_mub_per_atom": 0.67,
  "lattice_angstrom": [[4.079, 0.000, 0.000], [2.039, 3.532, 0.000], [2.039, 1.177, 3.330]],
  "species": ["Cr", "Li", "Rh", "P"],
  "frac_coords": [[0.500, 0.500, 0.500], [0.750, 0.750, 0.750], [0.000, 0.000, 0.000], [0.250, 0.250, 0.250]]
}

16.
{
  "formula": "K2SrSc",
  "functional": "PBE",
  "state": "optimized geometry",
  "relative_energy_ev_per_fu": 0.00,
  "e_tot_ev_per_fu": -8.791,
  "total_magnetization_mub_per_atom": 0.40,
  "lattice_angstrom": [[3.906, 0.549, 0.000], [-0.573, 3.903, 0.000], [0.000, 0.000, 12.863]],
  "species": ["K", "K", "Sc", "Sr"],
  "frac_coords": [[0.000, 0.000, 0.986], [0.500, 0.500, 0.290], [0.000, 0.000, 0.520], [0.500, 0.500, 0.705]]
}

17.
{
  "formula": "Ga2CuRh2",
  "functional": "PBE",
  "state": "optimized geometry",
  "relative_energy_ev_per_fu": 0.00,
  "e_tot_ev_per_fu": -26.900,
  "total_magnetization_mub_per_atom": 0.00,
  "lattice_angstrom": [[-3.982, -1.290, 5.643], [0.498, -6.900, -1.225], [2.423, -0.124, 1.681]],
  "species": ["Rh", "Rh", "Rh", "Rh", "Cu", "Cu", "Ga", "Ga", "Ga", "Ga"],
  "frac_coords": [[0.154, 0.654, 0.500], [0.654, 0.846, 0.500], [0.846, 0.346, 0.500], [0.346, 0.154, 0.500], [0.000, 0.000, 0.000], [0.500, 0.500, 0.000], [0.356, 0.856, 0.000], [0.856, 0.644, 0.000], [0.644, 0.144, 0.000], [0.144, 0.356, 0.000]]
}

no.,theoretical density (g/cm³)
1,7.3
2,2.6
3,13.1
4,6.5
5,6.2
6,6.3
7,8.3
8,6.2
9,15.9
10,5.8
11,10.0
12,6.0
13,9.3
14,4.9
15,6.7
16,1.7
17,9.3